1.
A plane-wave DFT calculation with GGA-PBE was carried out for an optimized crystal structure of Pr4SbN2.

The structure in POSCAR format:
```
Pr4SbN2
1.0
1.993 -6.331 0.000
1.993 6.331 0.000
0.000 0.000 13.069
Pr Sb N
8 2 4
Direct
0.000 0.000 0.000
0.000 0.000 0.500
0.264 0.736 0.603
0.264 0.736 0.897
0.417 0.583 0.250
0.583 0.417 0.750
0.736 0.264 0.103
0.736 0.264 0.397
0.105 0.895 0.250
0.895 0.105 0.750
0.360 0.640 0.059
0.360 0.640 0.441
0.640 0.360 0.559
0.640 0.360 0.941
```

Formation energy (no corrections) in eV/f.u.: -7.25
Symmetry: Cmcm, No. 63
Crystal system: orthorhombic
Total magnetization in Bohr magnetons per cell: 0.01
ρ in g cm⁻³: 7.185

2.
A plane-wave DFT calculation with GGA-PBE was carried out for an optimized crystal structure of PrSbN.

The structure in POSCAR format:
```
PrSbN
1.0
8.727 0.000 0.000
0.000 3.779 0.000
-3.190 0.000 8.638
Pr Sb N
4 4 4
Direct
0.154 0.250 0.464
0.287 0.750 0.874
0.713 0.250 0.126
0.846 0.750 0.536
0.069 0.750 0.122
0.456 0.750 0.251
0.544 0.250 0.749
0.931 0.250 0.878
0.134 0.750 0.605
0.428 0.250 0.111
0.572 0.750 0.889
0.866 0.250 0.395
```

Formation energy (no corrections) in eV/f.u.: -1.75
Symmetry: P2_1/m, No. 11
Crystal system: monoclinic
Total magnetization in Bohr magnetons per cell: 0.00
Polymorph energy (0 for the lowest one) in eV per atom: 0.076
ρ in g cm⁻³: 6.451

3.
A plane-wave DFT calculation with GGA-PBE was carried out for an optimized crystal structure of Pr6SbN4.

The structure in POSCAR format:
```
Pr6SbN4
1.0
1.924 -6.222 0.000
1.924 6.222 0.000
0.000 0.000 19.663
Pr Sb N
12 2 8
Direct
0.000 0.000 0.000
0.000 0.000 0.500
0.137 0.863 0.750
0.278 0.722 0.077
0.278 0.722 0.423
0.460 0.540 0.645
0.460 0.540 0.855
0.540 0.460 0.145
0.540 0.460 0.355
0.722 0.278 0.577
0.722 0.278 0.923
0.863 0.137 0.250
0.165 0.835 0.250
0.835 0.165 0.750
0.084 0.916 0.622
0.084 0.916 0.878
0.360 0.640 0.538
0.360 0.640 0.962
0.640 0.360 0.038
0.640 0.360 0.462
0.916 0.084 0.122
0.916 0.084 0.378
```

Formation energy (no corrections) in eV/f.u.: -12.70
Symmetry: Cmcm, No. 63
Crystal system: orthorhombic
Total magnetization in Bohr magnetons per cell: 0.30
ρ in g cm⁻³: 7.220

4.
A plane-wave DFT calculation with GGA-PBE was carried out for an optimized crystal structure of PrSbN.

The structure in POSCAR format:
```
PrSbN
1.0
4.208 0.000 0.000
0.000 4.208 0.000
0.000 0.000 8.368
Pr Sb N
2 2 2
Direct
0.250 0.250 0.131
0.750 0.750 0.869
0.250 0.250 0.558
0.750 0.750 0.442
0.250 0.750 0.000
0.750 0.250 0.000
```

Formation energy (no corrections) in eV/f.u.: -1.98
Symmetry: P4/nmm, No. 129
Crystal system: tetragonal
Total magnetization in Bohr magnetons per cell: 0.77
Polymorph energy (0 for the lowest one) in eV per atom: 0.000
ρ in g cm⁻³: 6.200